First-principles (PBE-GGA) data for crystalline ScCd2Sn2 at its relaxed geometry, as listed in Alexandria via LeMat-Bulk.

The calculation puts the energy relative to the lowest polymorph listed for this composition at 0 meV/atom. As for the space-group type: Cmcm, No. 63.

a = 4.351 Å, b = 4.368 Å, c = 12.264 Å
α = 90.00°, β = 100.22°, γ = 90.00°
Atoms (fractional coordinates):
Sc 0.347 0.250 0.695
Sc 0.653 0.750 0.305
Cd 0.047 0.750 0.095
Cd 0.454 0.750 0.908
Cd 0.953 0.250 0.905
Cd 0.546 0.250 0.092
Sn 0.750 0.250 0.500
Sn 0.250 0.750 0.500
Sn 0.863 0.750 0.726
Sn 0.137 0.250 0.274


First-principles (PBE-GGA) data for crystalline Sc3Cd2Sn at its relaxed geometry, as listed in Alexandria via LeMat-Bulk.

As for the uncorrected energy: -4.5417 eV/atom. As for the space-group type: Cmmm, No. 65.

a = 3.563 Å, b = 4.979 Å, c = 7.932 Å
α = 108.29°, β = 90.00°, γ = 90.00°
Atoms (fractional coordinates):
Sc 0.500 0.500 0.000
Sc 0.500 0.835 0.670
Sc 0.500 0.165 0.330
Cd 0.000 0.325 0.650
Cd 0.000 0.675 0.350
Sn 0.000 0.000 0.000


Number 1: magnetization 0.00 Bohr magnetons per cell. Number 2: magnetization 0.00 Bohr magnetons per cell.